(1)
Below is a relaxed Tb3Pr2Er2 crystal, with properties calculated at the PBE level.

The structure in POSCAR format:
```
Tb3Pr2Er2
1.0
-1.6958 -3.0465 0.8338
-1.4511 0.7664 -7.8644
8.9331 -2.2538 2.1929
Er Tb Pr
2 3 2
Direct
0.3580 0.4273 0.2886
0.6420 0.5727 0.7114
0.7884 0.1471 0.4295
0.5000 0.0000 0.0000
0.2116 0.8529 0.5705
0.9310 0.7164 0.1453
0.0690 0.2836 0.8547
```

As for the density of states at the Fermi level: 8.90 states/eV/cell. The value obtained for the raw total energy is -32.4 eV/f.u. As for the spin magnetization: 0.00 μB/f.u. The crystal system is triclinic.

(2)
Below is a relaxed Tb2Pr2Er5 crystal, with properties calculated at the PBE level.

The structure in POSCAR format:
```
Tb2Pr2Er5
1.0
3.4118 0.0000 -0.7037
-0.4831 7.8588 -2.3421
0.7278 -2.9715 12.1510
Tb Er Pr
2 5 2
Direct
0.5466 0.7379 0.0933
0.4534 0.2621 0.9067
0.3094 0.1492 0.6188
0.0960 0.4598 0.1919
0.6906 0.8508 0.3812
0.0000 0.0000 0.0000
0.9040 0.5402 0.8081
0.8179 0.7780 0.6358
0.1821 0.2220 0.3642
```

As for the density of states at the Fermi level: 13.07 states/eV/cell. The value obtained for the raw total energy is -39.6 eV/f.u. As for the spin magnetization: 0.00 μB/f.u. The crystal system is monoclinic.

What is the formula in the first record? Tb3Pr2Er2

raw total energy of number 1 (Tb3Pr2Er2)? -32.4 eV/f.u.